No. 1
A plane-wave DFT calculation with PBE was carried out for crystalline BaCaAu3 at its relaxed geometry.

Lattice parameters (Å, degrees): 14.5471 14.5471 4.6836 90.00 90.00 163.64
Closest atoms and distances in Å follow each position.
Element x y z (fractional)
Ba1 0.0752 0.9248 0.7500  10 Au 3.41-3.61
Ba2 0.9248 0.0752 0.2500  10 Au 3.41-3.61
Ca1 0.2070 0.7930 0.2500  7 Au 3.05-3.18
Ca2 0.7930 0.2070 0.7500  7 Au 3.05-3.18
Au1 0.3128 0.6872 0.2500  2 Au 2.91, 5 Ca 3.05-3.18
Au2 0.3727 0.6273 0.7500  3 Au 2.88-2.91, 2 Ca 3.09
Au3 0.4725 0.5275 0.7500  3 Au 2.83-2.88
Au4 0.5275 0.4725 0.2500  3 Au 2.83-2.88
Au5 0.6273 0.3727 0.2500  3 Au 2.88-2.91, 2 Ca 3.09
Au6 0.6872 0.3128 0.7500  2 Au 2.91, 5 Ca 3.05-3.18

## Properties
Offset from the most stable computed form = 0 meV per atom
Formation energy from the elements = -0.757 eV/atom

***

No. 2
A plane-wave DFT calculation with PBE was carried out for crystalline Ba2CaAu at its relaxed geometry.

Lattice parameters (Å, degrees): 6.5294 6.5294 6.5294 130.20 130.20 73.09
Closest atoms and distances in Å follow each position.
Element x y z (fractional)
Ba1 0.2500 0.7500 0.5000  4 Ca 3.80, 4 Au 3.80, 4 Ba 3.89
Ba2 0.7500 0.2500 0.5000  4 Ca 3.80, 4 Au 3.80, 4 Ba 3.89
Ca1 0.0000 0.0000 0.0000  8 Ba 3.80, 4 Au 3.89
Au1 0.5000 0.5000 0.0000  8 Ba 3.80, 4 Ca 3.89

## Properties
Offset from the most stable computed form = 283 meV per atom
Formation energy from the elements = -0.078 eV/atom

***

No. 3
A plane-wave DFT calculation with PBE was carried out for crystalline Ba2CaAu at its relaxed geometry.

Lattice parameters (Å, degrees): 4.5336 5.9467 5.9574 90.00 90.00 90.00
Closest atoms and distances in Å follow each position.
Element x y z (fractional)
Ba1 0.0000 0.0000 0.0000  4 Au 3.74, 4 Ca 3.74
Ba2 0.0000 0.5000 0.5000  4 Ca 3.74, 4 Au 3.74
Ca1 0.5000 0.0000 0.5000  8 Ba 3.74
Au1 0.5000 0.5000 0.0000  8 Ba 3.74

## Properties
Offset from the most stable computed form = 207 meV per atom
Formation energy from the elements = -0.154 eV/atom

***

No. 4
A plane-wave DFT calculation with PBE was carried out for crystalline BaCaAu2 at its relaxed geometry.

Lattice parameters (Å, degrees): 4.6082 4.6082 7.5351 107.98 107.98 60.26
Closest atoms and distances in Å follow each position.
Element x y z (fractional)
Ba1 0.0000 0.0000 0.0000  6 Au 3.37
Ca1 0.5000 0.5000 0.5000  6 Au 3.03-3.04
Au1 0.2351 0.2351 0.7066  3 Ca 3.03-3.04, 3 Ba 3.37
Au2 0.7649 0.7649 0.2934  3 Ca 3.03-3.04, 3 Ba 3.37

## Properties
Formation energy from the elements = -0.668 eV/atom

***

No. 5
A plane-wave DFT calculation with PBE was carried out for crystalline BaCaAu2 at its relaxed geometry.

Lattice parameters (Å, degrees): 7.4364 7.4364 7.4364 147.80 144.94 48.34
Closest atoms and distances in Å follow each position.
Element x y z (fractional)
Ba1 0.0000 0.0000 0.0000  6 Au 3.41-3.64
Ca1 0.2624 0.7624 0.5000  6 Au 3.02-3.05
Au1 0.6126 0.6126 0.0000  2 Ca 3.02, 2 Au 3.06
Au2 0.7787 0.2787 0.5000  4 Ca 3.05, 2 Au 3.06

## Properties
Formation energy from the elements = -0.617 eV/atom

***

No. 6
A plane-wave DFT calculation with PBE was carried out for crystalline BaCa3Au at its relaxed geometry.

Lattice parameters (Å, degrees): 5.7126 5.7126 5.7126 90.00 90.00 90.00
Closest atoms and distances in Å follow each position.
Element x y z (fractional)
Ba1 0.0000 0.0000 0.0000  6 Ca 2.86
Ca1 0.0000 0.0000 0.5000  2 Ba 2.86
Ca2 0.0000 0.5000 0.0000  2 Ba 2.86
Ca3 0.5000 0.0000 0.0000  2 Ba 2.86
Au1 0.5000 0.5000 0.5000  12 Ca 4.04

## Properties
Offset from the most stable computed form = 1437 meV per atom
Formation energy from the elements = 1.094 eV/atom

***

No. 7
A plane-wave DFT calculation with PBE was carried out for crystalline BaCaAu2 at its relaxed geometry.

Lattice parameters (Å, degrees): 3.8555 3.8847 7.5428 90.00 90.08 90.00
Closest atoms and distances in Å follow each position.
Element x y z (fractional)
Ba1 0.0000 0.0000 0.0000  8 Au 3.51-3.52, 2 Ca 3.77, 4 Ba 3.86-3.88
Ca1 0.0000 0.0000 0.5000  8 Au 3.15
Au1 0.4990 0.5000 0.2925  1 Au 3.13, 4 Ca 3.15
Au2 0.5010 0.5000 0.7075  1 Au 3.13, 4 Ca 3.15

## Properties
Formation energy from the elements = -0.724 eV/atom

***

No. 8
A plane-wave DFT calculation with PBE was carried out for crystalline Ba2Ca3Au4 at its relaxed geometry.

Lattice parameters (Å, degrees): 8.3659 8.3636 8.2723 90.00 109.83 90.00
Closest atoms and distances in Å follow each position.
Element x y z (fractional)
Ba1 0.1922 0.1737 0.0659  7 Au 3.38-3.72
Ba2 0.1922 0.3263 0.5659  7 Au 3.38-3.72
Ba3 0.8078 0.6737 0.4341  7 Au 3.38-3.72
Ba4 0.8078 0.8263 0.9341  7 Au 3.38-3.72
Ca1 0.2518 0.6668 0.2484  6 Au 3.09-3.20
Ca2 0.2518 0.8332 0.7484  6 Au 3.09-3.20
Ca3 0.5000 0.0000 0.5000  6 Au 3.25-3.29
Ca4 0.5000 0.5000 0.0000  6 Au 3.25-3.29
Ca5 0.7482 0.1668 0.2516  6 Au 3.09-3.20
Ca6 0.7482 0.3332 0.7516  6 Au 3.09-3.20
Au1 0.0877 0.5432 0.8681  1 Au 3.10, 4 Ca 3.11-3.27, 2 Ba 3.43-3.47
Au2 0.0877 0.9568 0.3681  1 Au 3.10, 4 Ca 3.11-3.27, 2 Ba 3.43-3.47
Au3 0.4978 0.6275 0.6288  1 Au 3.02, 5 Ca 3.09-3.29, 1 Ba 3.38
Au4 0.4978 0.8725 0.1288  1 Au 3.02, 5 Ca 3.09-3.29, 1 Ba 3.38
Au5 0.5022 0.1275 0.8712  1 Au 3.02, 5 Ca 3.09-3.29, 1 Ba 3.38
Au6 0.5022 0.3725 0.3713  1 Au 3.02, 5 Ca 3.09-3.29, 1 Ba 3.38
Au7 0.9123 0.0432 0.6319  1 Au 3.10, 4 Ca 3.11-3.27, 2 Ba 3.43-3.47
Au8 0.9123 0.4568 0.1319  1 Au 3.10, 4 Ca 3.11-3.27, 2 Ba 3.43-3.47

## Properties
Formation energy from the elements = -0.741 eV/atom

***

No. 9
A plane-wave DFT calculation with PBE was carried out for crystalline Ba2Ca2Au at its relaxed geometry.

Lattice parameters (Å, degrees): 7.9636 7.9636 6.6514 90.00 90.00 90.00
Closest atoms and distances in Å follow each position.
Element x y z (fractional)
Ba1 0.1764 0.3236 0.0000  2 Ca 3.78, 5 Ba 3.97-4.15
Ba2 0.3236 0.8236 0.0000  2 Ca 3.78, 5 Ba 3.97-4.15
Ba3 0.6764 0.1764 0.0000  2 Ca 3.78, 5 Ba 3.97-4.15
Ba4 0.8236 0.6764 0.0000  2 Ca 3.78, 5 Ba 3.97-4.15
Ca1 0.1640 0.6640 0.5000  2 Au 2.98
Ca2 0.3360 0.1640 0.5000  2 Au 2.98
Ca3 0.6640 0.8360 0.5000  2 Au 2.98
Ca4 0.8360 0.3360 0.5000  2 Au 2.98
Au1 0.0000 0.0000 0.5000  4 Ca 2.98
Au2 0.5000 0.5000 0.5000  4 Ca 2.98

## Properties
Formation energy from the elements = -0.158 eV/atom

***

No. 10
A plane-wave DFT calculation with PBE was carried out for crystalline Ba2CaAu at its relaxed geometry.

Lattice parameters (Å, degrees): 11.1284 11.1284 11.1284 23.69 23.69 23.69
Closest atoms and distances in Å follow each position.
Element x y z (fractional)
Ba1 0.2263 0.2263 0.2263  3 Au 3.27
Ba2 0.7737 0.7737 0.7737  3 Au 3.27
Ca1 0.0000 0.0000 0.0000  6 Ba 4.36, 6 Ca 4.57
Au1 0.5000 0.5000 0.5000  6 Ba 3.27

## Properties
Offset from the most stable computed form = 68 meV per atom
Formation energy from the elements = -0.293 eV/atom

***

Number 1: calculated volume 27.91 Å³/atom, final energy -35.086 eV for the cell shown, DOS(E_F) 2.730 states/eV/cell. Number 2: calculated volume 39.65 Å³/atom, final energy -9.437 eV for the cell shown, DOS(E_F) 6.623 states/eV/cell. Number 3: calculated volume 40.15 Å³/atom, final energy -9.742 eV for the cell shown, DOS(E_F) 6.923 states/eV/cell. Number 4: calculated volume 32.45 Å³/atom, final energy -13.151 eV for the cell shown, DOS(E_F) 2.765 states/eV/cell. Number 5: calculated volume 31.34 Å³/atom, final energy -12.946 eV for the cell shown, DOS(E_F) 2.470 states/eV/cell. Number 6: calculated volume 37.29 Å³/atom, final energy -5.736 eV for the cell shown, DOS(E_F) 6.214 states/eV/cell. Number 7: calculated volume 28.24 Å³/atom, final energy -13.376 eV for the cell shown, DOS(E_F) 2.436 states/eV/cell. Number 8: calculated volume 30.25 Å³/atom, final energy -59.259 eV for the cell shown, DOS(E_F) 10.295 states/eV/cell. Number 9: calculated volume 42.18 Å³/atom, final energy -23.835 eV for the cell shown, DOS(E_F) 18.866 states/eV/cell. Number 10: calculated volume 48.84 Å³/atom, final energy -10.297 eV for the cell shown, DOS(E_F) 4.642 states/eV/cell.